Computed, not measured: a relaxed NdTlZn crystal at the PBE level of DFT.

Lattice parameters (Å, degrees): 4.742 3.877 12.301 64.07 78.89 52.29
Sites, in units of the cell vectors:
Zn 0.699 0.063 0.539
Zn 0.301 0.937 0.461
Nd 0.145 0.002 0.708
Nd 0.855 0.998 0.292
Tl 0.731 0.624 0.913
Tl 0.269 0.376 0.087

Calculated values
The value obtained for the formation energy is -0.19 eV per atom.